Material: B4C
Method: DFT, GGA-PBE
State: relaxed

Cell lengths 12.402, 12.402, 12.402 Å; angles 168.98, 168.98, 15.60 degrees
Element x y z (fractional)
B 0.791 0.791 0.000
B 0.846 0.346 0.500
B 0.595 0.595 0.000
B 0.650 0.150 0.500
B 0.400 0.400 0.000
B 0.454 0.954 0.500
B 0.205 0.205 0.000
B 0.009 0.009 0.000
C 0.248 0.748 0.500
C 0.052 0.552 0.500

Results
Energy relative to the lowest polymorph listed for this composition = 574 meV per atom
Space group = No. 119
Uncorrected energy = -0.4935 Ry per atom
Total magnetization = 0.00 μB per atom
ΔE_f = 0.472 eV per atom



Material: Fe2Ni2Hg
Method: DFT, GGA-PBE
State: relaxed

Cell lengths 7.103, 7.103, 2.684 Å; angles 90.00, 90.00, 90.00 degrees
Element x y z (fractional)
Ni 0.374 0.874 0.000
Ni 0.874 0.626 0.000
Ni 0.626 0.126 0.000
Ni 0.126 0.374 0.000
Hg 0.000 0.000 0.000
Hg 0.500 0.500 0.000
Fe 0.164 0.664 0.500
Fe 0.664 0.836 0.500
Fe 0.836 0.336 0.500
Fe 0.336 0.164 0.500

Results
Energy relative to the lowest polymorph listed for this composition = 0 meV per atom
Space group = No. 127
Uncorrected energy = -0.4095 Ry per atom
Total magnetization = 1.38 μB per atom
ΔE_f = 0.187 eV per atom



Material: Mg14GaAg
Method: DFT, GGA-PBE
State: relaxed

Cell lengths 6.234, 6.234, 10.220 Å; angles 90.00, 90.00, 118.30 degrees
Element x y z (fractional)
Mg 0.201 0.799 0.000
Mg 0.700 0.300 0.000
Mg 0.053 0.447 0.500
Mg 0.202 0.297 0.000
Mg 0.553 0.947 0.500
Mg 0.703 0.798 0.000
Mg 0.373 0.126 0.737
Mg 0.373 0.126 0.263
Mg 0.874 0.627 0.737
Mg 0.874 0.627 0.263
Mg 0.376 0.624 0.750
Mg 0.376 0.624 0.250
Mg 0.876 0.124 0.749
Mg 0.876 0.124 0.251
Ga 0.544 0.456 0.500
Ag 0.046 0.954 0.500

Results
Space group = No. 38
Uncorrected energy = -0.1316 Ry per atom
Total magnetization = 0.00 μB per atom
ΔE_f = -0.028 eV per atom



Material: TiTeOsI2
Method: DFT, GGA-PBE
State: relaxed

Cell lengths 5.476, 5.476, 5.354 Å; angles 90.00, 90.00, 90.00 degrees
Element x y z (fractional)
I 0.000 0.500 0.000
I 0.500 0.000 0.000
Te 0.000 0.000 0.500
Os 0.500 0.500 0.500
Ti 0.000 0.000 0.000

Results
Energy relative to the lowest polymorph listed for this composition = 88 meV per atom
Space group = No. 123
Uncorrected energy = -0.2895 Ry per atom
Total magnetization = 0.88 μB per atom
Formation energy without anion corrections = 547 kJ/mol of formula units